VASP calculation (PBE) on crystalline Dy4Er15Sc at its relaxed geometry.

Cell: 4.9537 4.9537 24.7369 Å, 90.00 90.00 90.00°
Closest atoms and distances in Å follow each position.
Space group P4/mmm (No. 123)
One atom of each set of equivalent atoms:
Dy (0.0000, 0.0000, 0.1008) [2 per cell]  12 Er 3.50-3.52
Dy (0.0000, 0.0000, 0.3020) [2 per cell]  12 Er 3.50-3.52
Er (0.0000, 0.5000, 0.0000) [2 per cell]  8 Er 3.50-3.51, 4 Dy 3.52
Er (0.0000, 0.5000, 0.2017) [4 per cell]  8 Er 3.50-3.52, 4 Dy 3.51-3.52
Er (0.0000, 0.5000, 0.4032) [4 per cell]  8 Er 3.44-3.51, 2 Sc 3.44, 2 Dy 3.52
Er (0.5000, 0.5000, 0.1007) [2 per cell]  4 Dy 3.50, 8 Er 3.51-3.52
Er (0.5000, 0.5000, 0.3025) [2 per cell]  4 Dy 3.50, 8 Er 3.51-3.52
Er (0.5000, 0.5000, 0.5000) [1 per cell]  8 Er 3.44, 4 Sc 3.50
Sc (0.0000, 0.0000, 0.5000) [1 per cell]  12 Er 3.44-3.50

Formation energy: 0.52 eV/f.u.